Tb3PrSc7: relaxed, PBE.

abc: 8.0122 8.0122 5.4797
angles: 109.91 109.91 82.36
Last column: nearest neighbours and their distance in Å.
Fractional positions:
1 Tb 0.0000 0.0000 0.0000  4 Sc 3.09
2 Tb 0.2101 0.7899 0.5000  5 Sc 3.06-3.20
3 Tb 0.7899 0.2101 0.5000  5 Sc 3.06-3.20
4 Pr 0.5000 0.5000 0.0000  2 Sc 2.74
5 Sc 0.0299 0.4086 0.2192  2 Tb 3.09-3.20, 5 Sc 3.09-3.40
6 Sc 0.2062 0.2062 0.7056  2 Tb 3.14, 1 Pr 3.16, 6 Sc 3.37-3.40
7 Sc 0.4086 0.0299 0.2192  2 Tb 3.09-3.20, 5 Sc 3.09-3.40
8 Sc 0.5000 0.5000 0.5000  2 Pr 2.74, 2 Tb 3.06
9 Sc 0.5914 0.9701 0.7808  2 Tb 3.09-3.20, 5 Sc 3.09-3.40
10 Sc 0.7938 0.7938 0.2944  2 Tb 3.14, 1 Pr 3.16, 6 Sc 3.37-3.40
11 Sc 0.9701 0.5914 0.7808  2 Tb 3.09-3.20, 5 Sc 3.09-3.40

Results
SG: No. 12
Size of the total moment (μB/atom): 0.000
Raw total energy (eV per formula unit): -59.86
DOS(E_F) (states/eV/f.u.): 17.00
Calculated volume (Å³ per atom): 28.3